Entry 1:
A relaxed structure of AcCePmN3, computed with GGA-PBE.

Unit cell a=6.2929 b=3.6836 c=9.5033 alpha=90.00 beta=101.86 gamma=90.00
Last column: nearest neighbours and their distance in Å.
Element x y z (fractional)
Ac 0.1600 0.2500 0.1990  7 N 2.73-2.90
Ac 0.8400 0.7500 0.8010  7 N 2.73-2.90
Ce 0.3563 0.2500 0.8535  5 N 2.34-2.56
Ce 0.6437 0.7500 0.1465  5 N 2.34-2.56
Pm 0.2667 0.7500 0.5444  6 N 2.47-2.69
Pm 0.7333 0.2500 0.4556  6 N 2.47-2.69
N 0.0494 0.2500 0.6664  1 Ce 2.34, 1 Pm 2.52
N 0.2638 0.7500 0.9865  3 Ce 2.37-2.56
N 0.4606 0.7500 0.3432  1 Ce 2.39, 3 Pm 2.47-2.59
N 0.5394 0.2500 0.6568  1 Ce 2.39, 3 Pm 2.47-2.59
N 0.7362 0.2500 0.0135  3 Ce 2.37-2.56
N 0.9506 0.7500 0.3336  1 Ce 2.34, 1 Pm 2.52

Summary:
**Calculated total energy**: -94.331 eV for the cell shown
**Raw formation energy**: -1233 meV/atom
**Density of states at the Fermi level**: 0.51 states/eV/atom

Entry 2:
A relaxed structure of Ac4Ce3PmN8, computed with GGA-PBE.

Unit cell a=7.4963 b=7.4963 c=7.4963 alpha=59.31 beta=59.31 gamma=59.31
Last column: nearest neighbours and their distance in Å.
Element x y z (fractional)
Ac 0.0000 0.0000 0.0000  6 N 2.71
Ac 0.0000 0.5000 0.5000  6 N 2.77
Ac 0.5000 0.0000 0.5000  6 N 2.77
Ac 0.5000 0.5000 0.0000  6 N 2.77
Ce 0.0000 0.0000 0.5000  6 N 2.51-2.52
Ce 0.0000 0.5000 0.0000  6 N 2.51-2.52
Ce 0.5000 0.0000 0.0000  6 N 2.51-2.52
Pm 0.5000 0.5000 0.5000  6 N 2.57
N 0.2319 0.7435 0.7435  2 Ce 2.51, 1 Pm 2.57, 3 Ac 2.71-2.77
N 0.2382 0.2382 0.2382  3 Ce 2.52, 3 Ac 2.77
N 0.2565 0.2565 0.7681  2 Ce 2.51, 1 Pm 2.57, 3 Ac 2.71-2.77
N 0.2565 0.7681 0.2565  2 Ce 2.51, 1 Pm 2.57, 3 Ac 2.71-2.77
N 0.7435 0.2319 0.7435  2 Ce 2.51, 1 Pm 2.57, 3 Ac 2.71-2.77
N 0.7435 0.7435 0.2319  2 Ce 2.51, 1 Pm 2.57, 3 Ac 2.71-2.77
N 0.7618 0.7618 0.7618  3 Ce 2.52, 3 Ac 2.77
N 0.7681 0.2565 0.2565  2 Ce 2.51, 1 Pm 2.57, 3 Ac 2.71-2.77

Summary:
**Calculated total energy**: -125.724 eV for the cell shown
**Raw formation energy**: -1258 meV/atom
**Density of states at the Fermi level**: 0.50 states/eV/atom

Entry 3:
A relaxed structure of AcCe2PmN4, computed with GGA-PBE.

Unit cell a=6.3395 b=3.6492 c=6.3456 alpha=90.00 beta=109.40 gamma=90.00
Last column: nearest neighbours and their distance in Å.
Element x y z (fractional)
Ac 0.0000 0.0000 0.0000  6 N 2.70-2.71
Ce 0.0000 0.5000 0.5000  6 N 2.54
Ce 0.5000 0.0000 0.5000  6 N 2.47-2.48
Pm 0.5000 0.5000 0.0000  6 N 2.63-2.65
N 0.2522 0.0000 0.7308  3 Ce 2.48-2.54, 2 Pm 2.63, 1 Ac 2.70
N 0.2686 0.5000 0.2790  3 Ce 2.47-2.54, 1 Pm 2.65, 2 Ac 2.71
N 0.7314 0.5000 0.7210  3 Ce 2.47-2.54, 1 Pm 2.65, 2 Ac 2.71
N 0.7478 0.0000 0.2692  3 Ce 2.48-2.54, 2 Pm 2.63, 1 Ac 2.70

Summary:
**Calculated total energy**: -64.904 eV for the cell shown
**Raw formation energy**: -1359 meV/atom
**Density of states at the Fermi level**: 0.56 states/eV/atom

Entry 4:
A relaxed structure of AcCe3Pr2N6, computed with GGA-PBE.

Unit cell a=8.1903 b=8.1903 c=7.3274 alpha=103.21 beta=103.21 gamma=25.74
Last column: nearest neighbours and their distance in Å.
Element x y z (fractional)
Ac 0.0000 0.0000 0.0000  6 N 2.72-2.73
Ce 0.0000 0.0000 0.5000  6 N 2.46-2.54
Ce 0.3311 0.3311 0.1687  6 N 2.42-2.54
Ce 0.6689 0.6689 0.8313  6 N 2.42-2.54
Pr 0.3313 0.3313 0.6628  6 N 2.60-2.71
Pr 0.6687 0.6687 0.3372  6 N 2.60-2.71
N 0.1638 0.1638 0.5942  3 Ce 2.51-2.54, 3 Pr 2.60-2.64
N 0.1755 0.1755 0.0735  3 Ce 2.42-2.53, 2 Pr 2.68
N 0.4946 0.4946 0.2728  3 Ce 2.46-2.54, 1 Pr 2.71, 2 Ac 2.72
N 0.5054 0.5054 0.7272  3 Ce 2.46-2.54, 1 Pr 2.71, 2 Ac 2.72
N 0.8245 0.8245 0.9265  3 Ce 2.42-2.53, 2 Pr 2.68
N 0.8362 0.8362 0.4058  3 Ce 2.51-2.54, 3 Pr 2.60-2.64

Summary:
**Calculated total energy**: -97.815 eV for the cell shown
**Raw formation energy**: -1366 meV/atom
**Density of states at the Fermi level**: 0.61 states/eV/atom

Entry 5:
A relaxed structure of Ac4Ce3PrN8, computed with GGA-PBE.

Unit cell a=7.5120 b=7.5120 c=7.5120 alpha=59.39 beta=59.39 gamma=59.39
Last column: nearest neighbours and their distance in Å.
Element x y z (fractional)
Ac 0.0000 0.0000 0.0000  6 N 2.70
Ac 0.0000 0.5000 0.5000  6 N 2.77-2.78
Ac 0.5000 0.0000 0.5000  6 N 2.77-2.78
Ac 0.5000 0.5000 0.0000  6 N 2.77-2.78
Ce 0.0000 0.0000 0.5000  6 N 2.51-2.53
Ce 0.0000 0.5000 0.0000  6 N 2.51-2.53
Ce 0.5000 0.0000 0.0000  6 N 2.51-2.53
Pr 0.5000 0.5000 0.5000  6 N 2.60
N 0.2290 0.7456 0.7456  2 Ce 2.51, 1 Pr 2.60, 3 Ac 2.70-2.78
N 0.2386 0.2386 0.2386  3 Ce 2.53, 3 Ac 2.77
N 0.2544 0.2544 0.7710  2 Ce 2.51, 1 Pr 2.60, 3 Ac 2.70-2.78
N 0.2544 0.7710 0.2544  2 Ce 2.51, 1 Pr 2.60, 3 Ac 2.70-2.78
N 0.7456 0.2290 0.7456  2 Ce 2.51, 1 Pr 2.60, 3 Ac 2.70-2.78
N 0.7456 0.7456 0.2290  2 Ce 2.51, 1 Pr 2.60, 3 Ac 2.70-2.78
N 0.7614 0.7614 0.7614  3 Ce 2.53, 3 Ac 2.77
N 0.7710 0.2544 0.2544  2 Ce 2.51, 1 Pr 2.60, 3 Ac 2.70-2.78

Summary:
**Calculated total energy**: -125.479 eV for the cell shown
**Raw formation energy**: -1241 meV/atom
**Density of states at the Fermi level**: 0.51 states/eV/atom

Entry 6:
A relaxed structure of Ac3Ce2PrN6, computed with GGA-PBE.

Unit cell a=6.4590 b=6.4590 c=6.5345 alpha=99.51 beta=99.51 gamma=119.95
Last column: nearest neighbours and their distance in Å.
Element x y z (fractional)
Ac 0.0000 0.0000 0.0000  6 N 2.69-2.79
Ac 0.3340 0.6660 0.0000  6 N 2.67-2.81
Ac 0.6660 0.3340 0.0000  6 N 2.67-2.81
Ce 0.1663 0.8337 0.5000  6 N 2.49-2.52
Ce 0.8337 0.1663 0.5000  6 N 2.49-2.52
Pr 0.5000 0.5000 0.5000  6 N 2.63-2.64
N 0.0771 0.4256 0.2762  2 Ce 2.52, 1 Pr 2.64, 3 Ac 2.67-2.79
N 0.2226 0.2226 0.7171  2 Ce 2.49, 1 Pr 2.63, 1 Ac 2.69
N 0.4256 0.0771 0.2762  2 Ce 2.52, 1 Pr 2.64, 3 Ac 2.67-2.79
N 0.5744 0.9229 0.7238  2 Ce 2.52, 1 Pr 2.64, 3 Ac 2.67-2.79
N 0.7774 0.7774 0.2829  2 Ce 2.49, 1 Pr 2.63, 1 Ac 2.69
N 0.9229 0.5744 0.7238  2 Ce 2.52, 1 Pr 2.64, 3 Ac 2.67-2.79

Summary:
**Calculated total energy**: -93.789 eV for the cell shown
**Raw formation energy**: -1239 meV/atom
**Density of states at the Fermi level**: 0.43 states/eV/atom

Entry 7:
A relaxed structure of Ac3Ce2PuN6, computed with GGA-PBE.

Unit cell a=6.3755 b=6.3755 c=6.4814 alpha=99.44 beta=99.44 gamma=120.00
Last column: nearest neighbours and their distance in Å.
Element x y z (fractional)
Ac 0.0000 0.0000 0.0000  6 N 2.75-2.79
Ac 0.3331 0.6669 0.0000  6 N 2.74-2.81
Ac 0.6669 0.3331 0.0000  6 N 2.74-2.81
Ce 0.1668 0.8332 0.5000  6 N 2.50-2.52
Ce 0.8332 0.1668 0.5000  6 N 2.50-2.52
Pu 0.5000 0.5000 0.5000  6 N 2.44-2.46
N 0.1050 0.4302 0.2906  1 Pu 2.44, 2 Ce 2.50-2.51
N 0.2452 0.2452 0.7138  1 Pu 2.46, 2 Ce 2.52, 2 Ac 2.74
N 0.4302 0.1050 0.2906  1 Pu 2.44, 2 Ce 2.50-2.51
N 0.5698 0.8950 0.7094  1 Pu 2.44, 2 Ce 2.50-2.51
N 0.7548 0.7548 0.2862  1 Pu 2.46, 2 Ce 2.52, 2 Ac 2.74
N 0.8950 0.5698 0.7094  1 Pu 2.44, 2 Ce 2.50-2.51

Summary:
**Calculated total energy**: -102.933 eV for the cell shown
**Raw formation energy**: -1205 meV/atom
**Density of states at the Fermi level**: 1.10 states/eV/atom

Entry 8:
A relaxed structure of AcCePuN3, computed with GGA-PBE.

Unit cell a=7.3867 b=3.6137 c=8.8741 alpha=90.00 beta=91.16 gamma=90.00
Last column: nearest neighbours and their distance in Å.
Element x y z (fractional)
Ac 0.1350 0.2500 0.1707  7 N 2.72-2.92
Ac 0.8650 0.7500 0.8293  7 N 2.72-2.92
Ce 0.3749 0.7500 0.8611  1 N 2.16
Ce 0.6251 0.2500 0.1389  1 N 2.16
Pu 0.1777 0.2500 0.5771  3 N 2.20-2.27
Pu 0.8223 0.7500 0.4229  3 N 2.20-2.27
N 0.1202 0.7500 0.4293  3 Pu 2.20-2.27
N 0.1461 0.2500 0.8598  2 Ce 2.47, 1 Pu 2.52, 3 Ac 2.76
N 0.3964 0.7500 0.1047  1 Ce 2.16
N 0.6036 0.2500 0.8953  1 Ce 2.16
N 0.8539 0.7500 0.1402  2 Ce 2.47, 1 Pu 2.52, 3 Ac 2.76
N 0.8798 0.2500 0.5707  3 Pu 2.20-2.27

Summary:
**Calculated total energy**: -112.042 eV for the cell shown
**Raw formation energy**: -1112 meV/atom
**Density of states at the Fermi level**: 1.18 states/eV/atom

Entry 9:
A relaxed structure of AcCe2ReN4, computed with GGA-PBE.

Unit cell a=6.3787 b=6.3787 c=11.9321 alpha=90.00 beta=90.00 gamma=147.94
Last column: nearest neighbours and their distance in Å.
Element x y z (fractional)
Ac 0.1053 0.8947 0.7500  6 N 2.70-2.83
Ac 0.8947 0.1053 0.2500  6 N 2.70-2.83
Ce 0.3673 0.6327 0.5455  6 N 2.38-2.59
Ce 0.3673 0.6327 0.9545  6 N 2.38-2.59
Ce 0.6327 0.3673 0.0455  6 N 2.38-2.59
Ce 0.6327 0.3673 0.4545  6 N 2.38-2.59
Re 0.1538 0.8462 0.2500  4 N 2.02-2.09
Re 0.8462 0.1538 0.7500  4 N 2.02-2.09
N 0.0000 0.0000 0.0000  4 Ce 2.46
N 0.0000 0.0000 0.5000  4 Ce 2.46
N 0.2629 0.7371 0.1230  1 Re 2.02
N 0.2629 0.7371 0.3770  1 Re 2.02
N 0.4381 0.5619 0.7500  2 Re 2.09
N 0.5619 0.4381 0.2500  2 Re 2.09
N 0.7371 0.2629 0.6230  1 Re 2.02
N 0.7371 0.2629 0.8770  1 Re 2.02

Summary:
**Calculated total energy**: -139.331 eV for the cell shown
**Raw formation energy**: -992 meV/atom
**Density of states at the Fermi level**: 0.85 states/eV/atom

Entry 10:
A relaxed structure of AcCe2RhN4, computed with GGA-PBE.

Unit cell a=6.3418 b=6.3418 c=11.9316 alpha=90.00 beta=90.00 gamma=147.94
Last column: nearest neighbours and their distance in Å.
Element x y z (fractional)
Ac 0.1064 0.8936 0.7500  6 N 2.62-2.84
Ac 0.8936 0.1064 0.2500  6 N 2.62-2.84
Ce 0.3691 0.6309 0.5524  6 N 2.33-2.54
Ce 0.3691 0.6309 0.9476  6 N 2.33-2.54
Ce 0.6309 0.3691 0.0524  6 N 2.33-2.54
Ce 0.6309 0.3691 0.4476  6 N 2.33-2.54
Rh 0.1552 0.8448 0.2500  4 N 2.14
Rh 0.8448 0.1552 0.7500  4 N 2.14
N 0.0000 0.0000 0.0000  4 Ce 2.45
N 0.0000 0.0000 0.5000  4 Ce 2.45
N 0.2683 0.7317 0.1132  1 Rh 2.14, 1 Ce 2.33
N 0.2683 0.7317 0.3868  1 Rh 2.14, 1 Ce 2.33
N 0.4461 0.5539 0.7500  2 Rh 2.14
N 0.5539 0.4461 0.2500  2 Rh 2.14
N 0.7317 0.2683 0.6132  1 Rh 2.14, 1 Ce 2.33
N 0.7317 0.2683 0.8868  1 Rh 2.14, 1 Ce 2.33

Summary:
**Calculated total energy**: -129.870 eV for the cell shown
**Raw formation energy**: -1038 meV/atom
**Density of states at the Fermi level**: 0.62 states/eV/atom

Entry 11:
A relaxed structure of AcCe2RuN4, computed with GGA-PBE.

Unit cell a=6.3526 b=6.3526 c=11.8320 alpha=90.00 beta=90.00 gamma=147.87
Last column: nearest neighbours and their distance in Å.
Element x y z (fractional)
Ac 0.1055 0.8945 0.7500  6 N 2.64-2.83
Ac 0.8945 0.1055 0.2500  6 N 2.64-2.83
Ce 0.3682 0.6318 0.5504  6 N 2.36-2.53
Ce 0.3682 0.6318 0.9496  6 N 2.36-2.53
Ce 0.6318 0.3682 0.0504  6 N 2.36-2.53
Ce 0.6318 0.3682 0.4496  6 N 2.36-2.53
Ru 0.1541 0.8459 0.2500  4 N 2.07-2.12
Ru 0.8459 0.1541 0.7500  4 N 2.07-2.12
N 0.0000 0.0000 0.0000  4 Ce 2.46
N 0.0000 0.0000 0.5000  4 Ce 2.46
N 0.2653 0.7347 0.1183  1 Ru 2.07
N 0.2653 0.7347 0.3817  1 Ru 2.07
N 0.4437 0.5563 0.7500  2 Ru 2.12
N 0.5563 0.4437 0.2500  2 Ru 2.12
N 0.7347 0.2653 0.6183  1 Ru 2.07
N 0.7347 0.2653 0.8817  1 Ru 2.07

Summary:
**Calculated total energy**: -133.481 eV for the cell shown
**Raw formation energy**: -1023 meV/atom
**Density of states at the Fermi level**: 0.66 states/eV/atom

Entry 12:
A relaxed structure of Ac2CeRuN4, computed with GGA-PBE.

Unit cell a=6.3437 b=6.3437 c=12.7212 alpha=90.00 beta=90.00 gamma=147.83
Last column: nearest neighbours and their distance in Å.
Element x y z (fractional)
Ac 0.1337 0.8663 0.5505  4 N 2.48-2.72
Ac 0.1337 0.8663 0.9495  4 N 2.48-2.72
Ac 0.8663 0.1337 0.0505  4 N 2.48-2.72
Ac 0.8663 0.1337 0.4495  4 N 2.48-2.72
Ce 0.3923 0.6077 0.7500  6 N 2.51-2.64
Ce 0.6077 0.3923 0.2500  6 N 2.51-2.64
Ru 0.3415 0.6585 0.2500  4 N 2.05-2.17
Ru 0.6585 0.3415 0.7500  4 N 2.05-2.17
N 0.0540 0.9460 0.7500  2 Ru 2.17
N 0.2106 0.7894 0.1488  1 Ru 2.05
N 0.2106 0.7894 0.3512  1 Ru 2.05
N 0.5000 0.5000 0.0000  4 Ac 2.48
N 0.5000 0.5000 0.5000  4 Ac 2.48
N 0.7894 0.2106 0.6488  1 Ru 2.05
N 0.7894 0.2106 0.8512  1 Ru 2.05
N 0.9460 0.0540 0.2500  2 Ru 2.17

Summary:
**Calculated total energy**: -124.483 eV for the cell shown
**Raw formation energy**: -689 meV/atom
**Density of states at the Fermi level**: 0.52 states/eV/atom